Entry 1:
Entry from Alexandria: crystalline LaZrFe3 at its relaxed geometry (PBE).

## Properties
* energy of formation: 840 meV/atom
* energy above the lowest structure with this stoichiometry: 0.0 kJ/mol of atoms
* magnetic moment: 5.81 μB/f.u.
* symmetry: No. 221

Unit cell a=4.793 b=4.793 c=4.793 alpha=90.00 beta=90.00 gamma=90.00
Positions (direct):
1 Fe 0.000 0.500 0.000
2 Fe 0.000 0.000 0.500
3 Fe 0.500 0.000 0.000
4 Zr 0.000 0.000 0.000
5 La 0.500 0.500 0.500

---

Entry 2:
Entry from Alexandria: crystalline VBiTe2As at its relaxed geometry (PBE).

## Properties
* magnetic moment: 2.98 μB/f.u.
* total energy: -4.265 eV per atom
* symmetry: No. 123

Unit cell a=5.572 b=4.775 c=5.572 alpha=90.00 beta=90.00 gamma=90.00
Positions (direct):
1 As 0.000 0.000 0.000
2 Te 0.000 0.000 0.500
3 Te 0.500 0.000 0.000
4 Bi 0.500 0.500 0.500
5 V 0.000 0.500 0.000